i) First-principles (PBE) data for crystalline Tb5Dy2Sc at its relaxed geometry, as listed in Alexandria.

a = 7.1786 Å, b = 7.1789 Å, c = 6.6582 Å
α = 105.63°, β = 105.63°, γ = 120.02°
Closest atoms and distances in Å follow each position.
Sites, in units of the cell vectors:
Tb 0.2371 0.3184 0.4997  2 Sc 3.48-3.49, 6 Tb 3.49-3.59, 4 Dy 3.57-3.61
Tb 0.3218 0.7398 0.0000  4 Dy 3.46-3.52, 6 Tb 3.50-3.63, 2 Sc 3.59
Tb 0.8157 0.2338 0.0000  4 Dy 3.46-3.52, 6 Tb 3.50-3.63, 2 Sc 3.59
Tb 0.7374 0.8188 0.5003  2 Sc 3.48-3.49, 6 Tb 3.49-3.59, 4 Dy 3.57-3.61
Tb 0.3213 0.2349 0.0000  8 Tb 3.49-3.63, 2 Dy 3.51, 2 Sc 3.59
Dy 0.2301 0.8159 0.4904  1 Sc 3.43, 9 Tb 3.46-3.61, 2 Dy 3.59
Dy 0.7397 0.3255 0.5096  1 Sc 3.43, 9 Tb 3.46-3.61, 2 Dy 3.59
Sc 0.8199 0.7359 0.0000  2 Dy 3.43, 10 Tb 3.48-3.59

Results
Symmetry = Fmm2 (42)
Crystal system = orthorhombic



ii) First-principles (PBE) data for crystalline Tb5Dy2Sc at its relaxed geometry, as listed in Alexandria.

a = 8.8947 Å, b = 8.8947 Å, c = 8.8652 Å
α = 120.11°, β = 120.11°, γ = 90.00°
Closest atoms and distances in Å follow each position.
Sites, in units of the cell vectors:
Tb 0.4874 0.6822 0.6695  3 Tb 3.24-3.44, 3 Dy 3.30-3.34, 2 Sc 3.54
Tb 0.8178 0.0126 0.3305  3 Tb 3.24-3.44, 3 Dy 3.30-3.34, 2 Sc 3.54
Tb 0.0000 0.0000 0.0000  2 Sc 3.12, 4 Dy 3.42
Tb 0.5000 0.5000 0.0000  2 Sc 3.12, 4 Dy 3.42
Tb 0.1822 0.9874 0.6695  3 Tb 3.24-3.44, 3 Dy 3.30-3.34, 2 Sc 3.54
Tb 0.6822 0.1822 0.6695  3 Tb 3.24-3.44, 3 Dy 3.30-3.34, 2 Sc 3.54
Tb 0.9874 0.4874 0.6695  3 Tb 3.24-3.44, 3 Dy 3.30-3.34, 2 Sc 3.54
Tb 0.3178 0.8178 0.3305  3 Tb 3.24-3.44, 3 Dy 3.30-3.34, 2 Sc 3.54
Tb 0.0126 0.5126 0.3305  3 Tb 3.24-3.44, 3 Dy 3.30-3.34, 2 Sc 3.54
Tb 0.5126 0.3178 0.3305  3 Tb 3.24-3.44, 3 Dy 3.30-3.34, 2 Sc 3.54
Dy 0.1426 0.3574 0.0000  8 Tb 3.30-3.42, 1 Dy 3.59
Dy 0.6426 0.1426 0.0000  8 Tb 3.30-3.42, 1 Dy 3.59
Dy 0.3574 0.8574 0.0000  8 Tb 3.30-3.42, 1 Dy 3.59
Dy 0.8574 0.6426 0.0000  8 Tb 3.30-3.42, 1 Dy 3.59
Sc 0.7500 0.7500 0.5000  2 Tb 3.12
Sc 0.2500 0.2500 0.5000  2 Tb 3.12

Results
Symmetry = I4/mcm (140)
Crystal system = tetragonal



Stability summary - winner: i); margin: 82 meV/atom.